1.
This record from the Alexandria database describes a geometry-optimized SmGe2Rh2 structure. The functional is PBE.

Unit cell a=6.011 b=6.011 c=6.011 alpha=139.52 beta=139.52 gamma=58.59
Fractional coordinates of all 5 atoms:
Ge 0.623 0.623 0.000
Ge 0.377 0.377 0.000
Rh 0.750 0.250 0.500
Rh 0.250 0.750 0.500
Sm 0.000 0.000 0.000

## Properties
The value obtained for the formation energy is -0.90 eV/atom. As for the total energy: -33.16 eV for the cell shown. As for the volume: 90.7 Å³/f.u.

***

2.
This record from the Alexandria database describes a geometry-optimized SmErSc6 structure. The functional is PBE.

Unit cell a=5.337 b=6.774 c=6.774 alpha=119.99 beta=90.00 gamma=90.00
Fractional coordinates of all 8 atoms:
Sc 0.000 0.589 0.924
Sc 0.500 0.423 0.088
Sc 0.000 0.076 0.411
Sc 0.500 0.914 0.086
Sc 0.500 0.912 0.577
Sc 0.000 0.586 0.414
Er 0.000 0.084 0.916
Sm 0.500 0.415 0.585

## Properties
The value obtained for the formation energy is -0.09 eV/atom. As for the total energy: -47.97 eV for the cell shown. As for the volume: 212.1 Å³/f.u.

***

3.
This record from the Alexandria database describes a geometry-optimized NbTc structure. The functional is PBE.

Unit cell a=2.806 b=2.806 c=4.426 alpha=90.00 beta=90.00 gamma=110.89
Fractional coordinates of all 2 atoms:
Nb 0.000 0.000 0.000
Tc 0.500 0.500 0.500

## Properties
The value obtained for the formation energy is -0.14 eV/atom. As for the total energy: -20.72 eV for the cell shown. As for the volume: 32.6 Å³/f.u.

***

4.
This record from the Alexandria database describes a geometry-optimized Pr6Nd16Dy7 structure. The functional is PBE.

Unit cell a=11.409 b=11.409 c=11.409 alpha=60.00 beta=60.00 gamma=60.00
Fractional coordinates of all 29 atoms:
Nd 0.874 0.874 0.874
Nd 0.874 0.874 0.378
Nd 0.126 0.126 0.622
Nd 0.349 0.349 0.954
Nd 0.378 0.874 0.874
Nd 0.622 0.126 0.126
Nd 0.126 0.126 0.126
Nd 0.046 0.651 0.651
Nd 0.651 0.651 0.651
Nd 0.954 0.349 0.349
Nd 0.874 0.378 0.874
Nd 0.349 0.954 0.349
Nd 0.651 0.046 0.651
Nd 0.349 0.349 0.349
Nd 0.126 0.622 0.126
Nd 0.651 0.651 0.046
Dy 0.500 0.500 0.000
Dy 0.000 0.500 0.500
Dy 0.500 0.000 0.500
Dy 0.000 0.000 0.500
Dy 0.000 0.000 0.000
Dy 0.000 0.500 0.000
Dy 0.500 0.000 0.000
Pr 0.272 0.272 0.728
Pr 0.272 0.728 0.272
Pr 0.728 0.728 0.272
Pr 0.728 0.272 0.272
Pr 0.728 0.272 0.728
Pr 0.272 0.728 0.728

## Properties
The value obtained for the formation energy is 0.20 eV/atom. As for the total energy: -131.38 eV for the cell shown. As for the volume: 1050.2 Å³/f.u.

***

5.
This record from the Alexandria database describes a geometry-optimized Ba2TlP structure. The functional is PBE.

Unit cell a=4.580 b=5.059 c=6.654 alpha=67.71 beta=90.00 gamma=90.00
Fractional coordinates of all 4 atoms:
P 0.000 0.703 0.467
Ba 0.000 0.982 0.913
Ba 0.500 0.260 0.355
Tl 0.500 0.555 0.765

## Properties
The value obtained for the formation energy is -0.60 eV/atom. As for the total energy: -14.03 eV for the cell shown. As for the volume: 142.7 Å³/f.u. Its excess energy over the best structure of this formula in the dataset is 29 meV per atom.

***

6.
This record from the Alexandria database describes a geometry-optimized Ba2PtSe structure. The functional is PBE.

Unit cell a=4.578 b=4.578 c=8.297 alpha=73.99 beta=73.99 gamma=60.00
Fractional coordinates of all 4 atoms:
Ba 0.253 0.253 0.240
Ba 0.080 0.080 0.759
Se 0.500 0.500 0.500
Pt 0.666 0.666 0.001

## Properties
As for the total energy: -18.46 eV for the cell shown. As for the volume: 142.7 Å³/f.u. For the formation energy from raw total energies, the calculation gives -1.272 eV per atom.

***

Question: Which value of volume does entry 3 give?
Answer: 32.6 Å³/f.u.

***

What did the second record say?
This record from the Alexandria database describes a geometry-optimized SmErSc6 structure. The functional is PBE.

Unit cell a=5.337 b=6.774 c=6.774 alpha=119.99 beta=90.00 gamma=90.00
Fractional coordinates of all 8 atoms:
Sc 0.000 0.589 0.924
Sc 0.500 0.423 0.088
Sc 0.000 0.076 0.411
Sc 0.500 0.914 0.086
Sc 0.500 0.912 0.577
Sc 0.000 0.586 0.414
Er 0.000 0.084 0.916
Sm 0.500 0.415 0.585

## Properties
The value obtained for the formation energy is -0.09 eV/atom. As for the total energy: -47.97 eV for the cell shown. As for the volume: 212.1 Å³/f.u.